A geometry-optimized Np3AsSe3 structure. Source: the Alexandria database, functional PBE.

Output
raw total energy	-8.671	eV per atom
uncorrected formation energy	-0.967	eV/atom

```
data_Np3AsSe3
_cell_length_a 5.753
_cell_length_b 5.753
_cell_length_c 5.753
_cell_angle_alpha 90.00
_cell_angle_beta 90.00
_cell_angle_gamma 90.00
_symmetry_space_group_name_H-M 'P 1'
_symmetry_Int_Tables_number 1
loop_
_symmetry_equiv_pos_as_xyz
'x,y,z'
loop_
_atom_site_label
_atom_site_type_symbol
_atom_site_fract_x
_atom_site_fract_y
_atom_site_fract_z
Np1 Np 0.500 0.000 0.500
Se1 Se 0.500 0.000 0.000
Np2 Np 0.500 0.500 0.000
Se2 Se 0.000 0.000 0.500
As1 As 0.500 0.500 0.500
Np3 Np 0.000 0.500 0.500
Se3 Se 0.000 0.500 0.000
```

A geometry-optimized UTa2Al structure. Source: the Alexandria database, functional PBE.

Output
raw total energy	-9.513	eV per atom
E_form	171	meV per atom

```
data_UTa2Al
_cell_length_a 2.911
_cell_length_b 2.911
_cell_length_c 10.383
_cell_angle_alpha 81.94
_cell_angle_beta 81.94
_cell_angle_gamma 60.00
_symmetry_space_group_name_H-M 'P 1'
_symmetry_Int_Tables_number 1
loop_
_symmetry_equiv_pos_as_xyz
'x,y,z'
loop_
_atom_site_label
_atom_site_type_symbol
_atom_site_fract_x
_atom_site_fract_y
_atom_site_fract_z
U1 U 0.000 0.000 0.000
Al1 Al 0.500 0.500 0.500
Ta1 Ta 0.757 0.757 0.729
Ta2 Ta 0.243 0.243 0.271
```

A geometry-optimized PmPr4Dy15 structure. Source: the Alexandria database, functional PBE.

Output
raw total energy	-4.625	eV per atom
E_form	20	meV per atom

```
data_PmPr4Dy15
_cell_length_a 5.074
_cell_length_b 5.074
_cell_length_c 25.235
_cell_angle_alpha 90.00
_cell_angle_beta 90.00
_cell_angle_gamma 90.00
_symmetry_space_group_name_H-M 'P 1'
_symmetry_Int_Tables_number 1
loop_
_symmetry_equiv_pos_as_xyz
'x,y,z'
loop_
_atom_site_label
_atom_site_type_symbol
_atom_site_fract_x
_atom_site_fract_y
_atom_site_fract_z
Dy1 Dy 0.500 0.000 0.700
Dy2 Dy 0.500 0.500 0.400
Pr1 Pr 0.000 0.000 0.600
Pm1 Pm 0.000 0.000 0.000
Dy3 Dy 0.500 0.500 0.600
Pr2 Pr 0.000 0.000 0.200
Dy4 Dy 0.000 0.500 0.300
Dy5 Dy 0.000 0.500 0.099
Dy6 Dy 0.000 0.500 0.500
Dy7 Dy 0.500 0.000 0.300
Pr3 Pr 0.000 0.000 0.400
Dy8 Dy 0.000 0.500 0.700
Dy9 Dy 0.500 0.000 0.901
Dy10 Dy 0.500 0.000 0.500
Dy11 Dy 0.500 0.500 0.800
Pr4 Pr 0.000 0.000 0.800
Dy12 Dy 0.500 0.000 0.099
Dy13 Dy 0.500 0.500 0.000
Dy14 Dy 0.000 0.500 0.901
Dy15 Dy 0.500 0.500 0.200
```